Entry 1:
Computed, not measured: AgTeRu2 at its PBEsol-relaxed geometry at the SCAN level of DFT.

a b c (Å): 2.9266 4.6055 5.6514
angles (deg): 114.05 105.01 90.00
Fractional positions:
Te1 0.4723 0.4723 0.9446
Ru1 0.0296 0.0296 0.0592
Ru2 0.7419 0.2419 0.4838
Ag1 0.2562 0.7562 0.5125

Values from the calculation:
* formation energy from raw total energies: 0.5475 eV per atom


Entry 2:
Computed, not measured: AgTe3Ru at its PBEsol-relaxed geometry at the SCAN level of DFT.

a b c (Å): 5.1405 5.1405 5.1405
angles (deg): 90.00 90.00 90.00
Site moments in Bohr magnetons follow the coordinates.
Fractional positions:
Te1 0.5000 0.0000 0.0000  0.25
Te2 0.0000 0.0000 0.5000  0.25
Te3 0.0000 0.5000 0.0000  0.25
Ru1 0.0000 0.0000 0.0000  0.70
Ag1 0.5000 0.5000 0.5000  -0.01

Values from the calculation:
* formation energy from raw total energies: 0.5984 eV per atom


Entry 3:
Computed, not measured: TlAgRu2 at its PBEsol-relaxed geometry at the SCAN level of DFT.

a b c (Å): 2.8715 4.2309 5.6653
angles (deg): 90.00 104.68 90.00
Fractional positions:
Tl1 0.4405 0.0000 0.8810
Ru1 0.1786 0.0000 0.3573
Ru2 0.0766 0.5000 0.1532
Ag1 0.8009 0.5000 0.6017

Values from the calculation:
* energy above the lowest structure with this stoichiometry: 0.000 eV/f.u.
* ΔE_f: 239.8 kJ/mol of formula units


Entry 4:
Computed, not measured: TlAgRu2 at its PBEsol-relaxed geometry at the SCAN level of DFT.

a b c (Å): 2.9114 4.8494 4.8494
angles (deg): 109.57 90.00 90.00
Site moments in Bohr magnetons follow the coordinates.
Fractional positions:
Ag1 0.5000 0.5000 0.5000  0.04
Ru1 0.0000 0.0000 0.5000  1.61
Ru2 0.0000 0.5000 0.0000  1.61
Tl1 0.5000 0.0000 0.0000  -0.04

Values from the calculation:
* energy above the lowest structure with this stoichiometry: 0.388 eV/f.u.
* ΔE_f: 277.1 kJ/mol of formula units


Entry 5:
Computed, not measured: TlAgRu2 at its PBEsol-relaxed geometry at the SCAN level of DFT.

a b c (Å): 3.2706 4.4166 4.4166
angles (deg): 90.00 90.00 90.00
Site moments in Bohr magnetons follow the coordinates.
Fractional positions:
Tl1 0.5000 0.5000 0.5000  -0.06
Ru1 0.0000 0.5000 0.0000  1.34
Ru2 0.0000 0.0000 0.5000  1.34
Ag1 0.5000 0.0000 0.0000  0.08

Values from the calculation:
* energy above the lowest structure with this stoichiometry: 0.625 eV/f.u.
* ΔE_f: 300.0 kJ/mol of formula units


Entry 6:
Computed, not measured: TlAgRu2 at its PBEsol-relaxed geometry at the SCAN level of DFT.

a b c (Å): 2.8806 4.8277 4.9624
angles (deg): 100.69 90.00 107.36
Site moments in Bohr magnetons follow the coordinates.
Fractional positions:
Ru1 0.7497 0.4995 0.7761  0.90
Ru2 0.2503 0.5005 0.2239  0.90
Ag1 0.5000 0.0000 0.0000  0.01
Tl1 0.0000 0.0000 0.5000  -0.03

Values from the calculation:
* energy above the lowest structure with this stoichiometry: 0.157 eV/f.u.
* ΔE_f: 254.9 kJ/mol of formula units